(1)
A plane-wave DFT calculation with meta-GGA SCAN was carried out for a crystal of Li5Mg relaxed with PBEsol.

a = 4.3683 Å, b = 12.4845 Å, c = 4.3553 Å
α = 90.00°, β = 90.00°, γ = 90.00°
Closest atoms and distances in Å follow each position.
Space group Cmmm (No. 65)
Unique sites:
1 Li 0.0000 0.0000 0.0000 x2  8 Li 3.02-3.03, 4 Mg 3.08
2 Li 0.0000 0.1686 0.5000 x4  10 Li 2.98-3.08, 2 Mg 3.03
3 Li 0.0000 0.3333 0.0000 x4  10 Li 3.00-3.08, 2 Mg 3.01
4 Mg 0.0000 0.5000 0.5000 x2  12 Li 3.01-3.08

Properties
Size of the total moment in μB/f.u.: 0.10
VASP energy in eV per atom: -2.843
Polymorph energy (0 for the lowest one) in kJ/mol of formula units: 1
Formation energy from the elements in eV/atom: -0.02
Mass density in g/cm³: 0.825



(2)
A plane-wave DFT calculation with meta-GGA SCAN was carried out for a crystal of LiCuF4 relaxed with PBEsol.

a = 7.2068 Å, b = 4.8986 Å, c = 7.0920 Å
α = 90.00°, β = 101.06°, γ = 90.00°
Closest atoms and distances in Å follow each position.
Space group P2_1/c (No. 14)
Unique sites:
1 Li 0.1509 0.2475 0.3445 x4  5 F 1.93-2.10
2 Cu 0.3232 0.7450 0.1902 x4  6 F 1.85-1.94
3 F 0.0942 0.5805 0.6937 x4  1 Cu 1.86, 2 Li 1.93
4 F 0.1948 0.0695 0.5961 x4  1 Cu 1.85, 2 Li 1.96-2.05
5 F 0.3176 0.5901 0.4411 x4  2 Cu 1.94, 1 Li 2.10
6 F 0.4389 0.0729 0.3098 x4  2 Cu 1.91-1.93

Properties
Size of the total moment in μB/f.u.: 1.98
VASP energy in eV per atom: -7.463
Formation energy from raw total energies in meV/atom: -2171.7
Mass density in g/cm³: 3.960



(3)
A plane-wave DFT calculation with meta-GGA SCAN was carried out for a crystal of TiTl3P relaxed with PBEsol.

a = 5.2840 Å, b = 5.2840 Å, c = 5.2840 Å
α = 90.00°, β = 90.00°, γ = 90.00°
Closest atoms and distances in Å follow each position.
Space group Pm-3m (No. 221)
Unique sites:
1 Ti 0.0000 0.0000 0.0000 x1  6 Tl 2.64
2 Tl 0.0000 0.0000 0.5000 x3  2 Ti 2.64
3 P 0.5000 0.5000 0.5000 x1  12 Tl 3.74

Properties
Size of the total moment in μB/f.u.: 0.00
VASP energy in eV per atom: -47.874
Formation energy from the elements in eV/atom: 0.83
Mass density in g/cm³: 7.788



(4)
A plane-wave DFT calculation with meta-GGA SCAN was carried out for a crystal of Zr3CoGe relaxed with PBEsol.

a = 4.7078 Å, b = 4.7078 Å, c = 4.7078 Å
α = 90.00°, β = 90.00°, γ = 90.00°
Closest atoms and distances in Å follow each position.
Space group Pm-3m (No. 221)
Unique sites:
1 Zr 0.0000 0.0000 0.5000 x3  2 Co 2.35
2 Co 0.0000 0.0000 0.0000 x1  6 Zr 2.35
3 Ge 0.5000 0.5000 0.5000 x1  12 Zr 3.33

Properties
Size of the total moment in μB/f.u.: 0.00
VASP energy in eV per atom: -25.719
Formation energy from the elements in eV/atom: -0.02
Mass density in g/cm³: 6.449



(5)
A plane-wave DFT calculation with meta-GGA SCAN was carried out for a crystal of LiTaGe2Cl relaxed with PBEsol.

a = 4.6926 Å, b = 4.6926 Å, c = 3.9570 Å
α = 90.00°, β = 90.00°, γ = 90.00°
Closest atoms and distances in Å follow each position.
Space group P4/mmm (No. 123)
Unique sites:
1 Li 0.0000 0.0000 0.0000 x1  2 Cl 1.98
2 Ta 0.5000 0.5000 0.5000 x1  8 Ge 3.07, 4 Cl 3.32
3 Ge 0.0000 0.5000 0.0000 x2  2 Li 2.35
4 Cl 0.0000 0.0000 0.5000 x1  2 Li 1.98

Properties
Size of the total moment in μB/f.u.: 0.11
VASP energy in eV per atom: -22.220
Formation energy from raw total energies in meV/atom: 805.3
Mass density in g/cm³: 7.025



(6)
A plane-wave DFT calculation with meta-GGA SCAN was carried out for a crystal of HoMg2 relaxed with PBEsol.

a = 8.4222 Å, b = 8.4222 Å, c = 8.4222 Å
α = 90.00°, β = 90.00°, γ = 90.00°
Closest atoms and distances in Å follow each position.
Space group Fd-3m (No. 227, origin choice 2)
Unique sites:
1 Ho 0.1250 0.1250 0.1250 x8  12 Mg 3.49, 4 Ho 3.65
2 Mg 0.0000 0.0000 0.5000 x16  6 Mg 2.98

Properties
Size of the total moment in μB/f.u.: 0.18
VASP energy in eV per atom: -19.702
Formation energy from the elements in eV/atom: -0.06
Mass density in g/cm³: 4.748



(7)
A plane-wave DFT calculation with meta-GGA SCAN was carried out for a crystal of ScTcSCl2 relaxed with PBEsol.

a = 4.8042 Å, b = 4.8042 Å, c = 4.9567 Å
α = 90.00°, β = 90.00°, γ = 90.00°
Closest atoms and distances in Å follow each position.
Space group P4/mmm (No. 123)
Unique sites:
1 Sc 0.0000 0.0000 0.0000 x1  4 Cl 2.40, 2 S 2.48
2 Tc 0.5000 0.5000 0.5000 x1  4 S 3.40, 8 Cl 3.45
3 S 0.0000 0.0000 0.5000 x1  2 Sc 2.48
4 Cl 0.0000 0.5000 0.0000 x2  2 Sc 2.40

Properties
Size of the total moment in μB/f.u.: 4.68
VASP energy in eV per atom: -15.553
Formation energy from raw total energies in meV/atom: -576.9
Mass density in g/cm³: 3.570



(8)
A plane-wave DFT calculation with meta-GGA SCAN was carried out for a crystal of DyAl relaxed with PBEsol.

a = 5.7702 Å, b = 11.3065 Å, c = 5.5351 Å
α = 90.00°, β = 90.00°, γ = 90.00°
Closest atoms and distances in Å follow each position.
Space group Pbcm (No. 57)
Unique sites:
1 Dy 0.0972 0.1682 0.2500 x4  6 Al 3.03-3.24, 3 Dy 3.25-3.33
2 Dy 0.3386 0.0145 0.7500 x4  8 Al 3.03-3.34, 3 Dy 3.25-3.35
3 Al 0.1606 0.5974 0.7500 x4  2 Al 2.71, 2 Dy 3.03
4 Al 0.4322 0.7500 0.0000 x4  4 Al 2.71-2.77

Properties
Size of the total moment in μB/f.u.: 0.01
VASP energy in eV per atom: -28.223
Formation energy from the elements in eV/atom: -0.45
Mass density in g/cm³: 6.970